A geometry-optimized TiSi2W2 structure. Source: Alexandria, functional PBE.

Summary:
The total energy comes out at -0.3263 Ha/atom. The magnetization is 0.000 μB/atom. The calculated volume comes out at 78 Å³ per cell. For the formation energy (no corrections), the calculation gives 0.0492 eV/atom.

a b c (Å): 3.3753 3.3753 7.2876
angles (deg): 76.61 76.61 90.00
Fractional positions:
W (0.3904, 0.3904, 0.2192)
Si (0.7500, 0.2500, 0.5000)
Ti (0.0000, 0.0000, 0.0000)
W (0.6096, 0.6096, 0.7808)
Si (0.2500, 0.7500, 0.5000)



A geometry-optimized Ti12Si6W structure. Source: Alexandria, functional PBE.

Summary:
The total energy comes out at -0.2790 Ha/atom. The magnetization is 0.000 μB/atom. The calculated volume comes out at 325 Å³ per cell. For the formation energy (no corrections), the calculation gives -0.2102 eV/atom.

a b c (Å): 7.4546 7.4546 7.4546
angles (deg): 108.94 108.94 108.94
Fractional positions:
Si (0.6683, 0.3443, 0.2269)
Ti (0.8783, 0.3221, 0.0198)
Ti (0.0198, 0.8783, 0.3221)
Ti (0.8743, 0.6746, 0.5966)
Ti (0.5966, 0.8743, 0.6746)
Ti (0.9802, 0.1217, 0.6779)
Ti (0.3221, 0.0198, 0.8783)
W (0.0000, 0.0000, 0.0000)
Ti (0.4034, 0.1257, 0.3254)
Ti (0.1217, 0.6779, 0.9802)
Ti (0.6746, 0.5966, 0.8743)
Si (0.7731, 0.3317, 0.6557)
Ti (0.3254, 0.4034, 0.1257)
Ti (0.1257, 0.3254, 0.4034)
Si (0.3443, 0.2269, 0.6683)
Si (0.3317, 0.6557, 0.7731)
Si (0.2269, 0.6683, 0.3443)
Ti (0.6779, 0.9802, 0.1217)
Si (0.6557, 0.7731, 0.3317)